1.
A geometry-optimized Rb2V2ZnO6 structure, computed with GGA+U.

Properties
- Electronic total energy: -6.03 eV/atom
- Fermi-level density of states: 0.000 states/eV per atom

Cell lengths 6.7361, 6.7361, 6.7361 Å; angles 52.80, 52.80, 52.80 degrees
Closest atoms and distances in Å follow each position.
Atoms (fractional coordinates):
Rb1 0.2184 0.2184 0.2184  9 O 3.09-3.10
Rb2 0.7816 0.7816 0.7816  9 O 3.09-3.10
V1 0.4228 0.4228 0.4228  3 O 1.72
V2 0.5772 0.5772 0.5772  3 O 1.72
Zn1 0.0000 0.0000 0.0000  6 O 2.16
O1 0.2417 0.2417 0.7316  1 V 1.72
O2 0.2417 0.7316 0.2417  1 V 1.72
O3 0.2684 0.7583 0.7583  1 V 1.72
O4 0.7316 0.2417 0.2417  1 V 1.72
O5 0.7583 0.2684 0.7583  1 V 1.72
O6 0.7583 0.7583 0.2684  1 V 1.72

2.
A geometry-optimized Rb2ZrVO structure, computed with GGA+U.

Properties
- Electronic total energy: -4.16 eV/atom
- Fermi-level density of states: 0.615 states/eV per atom

Cell lengths 7.5257, 7.5257, 3.6614 Å; angles 90.00, 90.00, 90.00 degrees
Closest atoms and distances in Å follow each position.
Atoms (fractional coordinates):
Rb1 0.0000 0.5000 0.0000  2 Rb 3.66, 2 V 3.76
Rb2 0.5000 0.0000 0.0000  2 Rb 3.66, 2 V 3.76
Zr1 0.0000 0.0000 0.5000  2 Zr 3.66
V1 0.5000 0.5000 0.0000  2 O 1.83
O1 0.5000 0.5000 0.5000  2 V 1.83